Here is HfCr2Re after structural relaxation from the Alexandria database. Energies are from GGA-PBE.

* energy relative to the elements: -0.0341 eV per atom
* crystal system: cubic
* VASP energy: -10.45 eV per atom
* symmetry: No. 225
* total moment: 0.0 Bohr magnetons per cell

abc: 4.3451 4.3451 4.3451
angles: 60.00 60.00 60.00
With the nearest neighbours (Å) after each atom.
Fractional positions:
Hf 0.0000 0.0000 0.0000  8 Cr 2.66
Cr 0.2500 0.2500 0.2500  4 Hf 2.66, 4 Re 2.66
Cr 0.7500 0.7500 0.7500  4 Hf 2.66, 4 Re 2.66
Re 0.5000 0.5000 0.5000  8 Cr 2.66

***

Here is SmSnBi2O6 after structural relaxation from the Alexandria database. Energies are from GGA-PBE.

* crystal system: trigonal
* VASP energy: -6.34 eV per atom
* symmetry: No. 146
* raw formation energy: -1.715 eV/atom
* total moment: 1.0 Bohr magnetons per cell

abc: 6.0611 6.0611 6.0611
angles: 60.88 60.88 60.88
With the nearest neighbours (Å) after each atom.
Fractional positions:
Sm 0.0000 0.0000 0.0000  6 O 2.30-2.43
Sn 0.5048 0.5048 0.5048  6 O 2.26-2.30
Bi 0.2242 0.2242 0.2242  3 O 2.29
Bi 0.7236 0.7236 0.7236  6 O 2.32-2.51
O 0.1396 0.3819 0.8354  2 Bi 2.29-2.51, 1 Sn 2.30, 1 Sm 2.43
O 0.3306 0.8572 0.6462  1 Sn 2.26, 1 Sm 2.30, 1 Bi 2.32
O 0.3819 0.8354 0.1396  2 Bi 2.29-2.51, 1 Sn 2.30, 1 Sm 2.43
O 0.6462 0.3306 0.8572  1 Sn 2.26, 1 Sm 2.30, 1 Bi 2.32
O 0.8354 0.1396 0.3819  2 Bi 2.29-2.51, 1 Sn 2.30, 1 Sm 2.43
O 0.8572 0.6462 0.3306  1 Sn 2.26, 1 Sm 2.30, 1 Bi 2.32